Entry 1:
Density functional theory data (GGA-PBE) for a relaxed LaHo12In6 crystal.

Structure (POSCAR):
```
LaHo12In6
1.0
6.904 3.986 3.741
-6.904 3.986 3.741
0.000 -7.972 3.741
La Ho In
1 12 6
direct
0.000 0.000 0.000
0.122 0.500 0.878
0.122 0.878 0.500
0.180 0.446 0.446
0.446 0.180 0.446
0.446 0.446 0.180
0.500 0.122 0.878
0.500 0.878 0.122
0.554 0.554 0.820
0.554 0.820 0.554
0.820 0.554 0.554
0.878 0.122 0.500
0.878 0.500 0.122
0.242 0.242 0.702
0.242 0.702 0.242
0.298 0.758 0.758
0.702 0.242 0.242
0.758 0.298 0.758
0.758 0.758 0.298
```

* spin magnetization: 0.027 μB per atom
* E: -4.083 eV per atom
* V: 617.70 Å³ per cell

***

Entry 2:
Density functional theory data (GGA-PBE) for a relaxed GdZn2Pd crystal.

Structure (POSCAR):
```
GdZn2Pd
1.0
2.182 1.260 4.735
-2.182 1.260 4.735
0.000 -2.520 4.735
Gd Zn Pd
1 2 1
direct
0.000 0.000 0.000
0.215 0.215 0.215
0.785 0.785 0.785
0.500 0.500 0.500
```

* spin magnetization: 1.843 μB per atom
* E: -5.926 eV per atom
* V: 78.10 Å³ per cell

***

Entry 3:
Density functional theory data (GGA-PBE) for a relaxed SrAs2RhW crystal.

Structure (POSCAR):
```
SrAs2RhW
1.0
4.807 0.000 0.000
0.000 4.807 0.000
0.000 0.000 5.814
Sr As Rh W
1 2 1 1
direct
0.000 0.000 0.000
0.000 0.500 0.500
0.500 0.000 0.500
0.500 0.500 0.000
0.000 0.000 0.500
```

* spin magnetization: 0.003 μB per atom
* E: -5.421 eV per atom
* V: 134.34 Å³ per cell

***

Entry 4:
Density functional theory data (GGA-PBE) for a relaxed Cs2KCdAs crystal.

Structure (POSCAR):
```
Cs2KCdAs
1.0
7.476 0.000 0.000
0.000 7.476 0.000
0.000 0.000 5.278
Cs K Cd As
2 1 1 1
direct
0.000 0.500 0.000
0.500 0.000 0.000
0.000 0.000 0.500
0.500 0.500 0.500
0.500 0.500 0.000
```

* spin magnetization: 0.000 μB per atom
* E: -1.760 eV per atom
* distance to the lowest polymorph of the same formula: 0 meV per atom
* V: 295.00 Å³ per cell

***

Entry 5:
Density functional theory data (GGA-PBE) for a relaxed PrYSnSe crystal.

Structure (POSCAR):
```
PrYSnSe
1.0
4.332 0.000 0.000
0.000 4.332 0.000
0.000 0.000 6.197
Pr Y Sn Se
1 1 1 1
direct
0.000 0.000 0.000
0.500 0.500 0.500
0.000 0.000 0.500
0.500 0.500 0.000
```

* spin magnetization: 0.000 μB per atom
* E: -5.970 eV per atom
* raw formation energy: -5.15 eV per formula unit
* V: 116.27 Å³ per cell

***

Entry 6:
Density functional theory data (GGA-PBE) for a relaxed Ca2EuBr crystal.

Structure (POSCAR):
```
Ca2EuBr
1.0
1.958 1.130 10.821
-1.958 1.130 10.821
0.000 -2.260 10.821
Ca Eu Br
2 1 1
direct
0.236 0.236 0.236
0.764 0.764 0.764
0.000 0.000 0.000
0.500 0.500 0.500
```

* spin magnetization: 1.951 μB per atom
* E: -4.673 eV per atom
* raw formation energy: -2.74 eV per formula unit
* V: 143.64 Å³ per cell

***

Entry 7:
Density functional theory data (GGA-PBE) for a relaxed Co2AgIr2 crystal.

Structure (POSCAR):
```
Co2AgIr2
1.0
7.354 0.000 0.000
0.000 7.354 0.000
0.000 0.000 2.670
Co Ag Ir
4 2 4
direct
0.167 0.333 0.000
0.333 0.833 0.000
0.667 0.167 0.000
0.833 0.667 0.000
0.000 0.000 0.500
0.500 0.500 0.500
0.129 0.629 0.500
0.371 0.129 0.500
0.629 0.871 0.500
0.871 0.371 0.500
```

* spin magnetization: 0.848 μB per atom
* E: -6.687 eV per atom
* V: 144.38 Å³ per cell

***

Entry 8:
Density functional theory data (GGA-PBE) for a relaxed Al2TlAg crystal.

Structure (POSCAR):
```
Al2TlAg
1.0
4.474 -1.646 0.000
4.474 1.646 0.000
-1.330 0.000 5.680
Al Tl Ag
2 1 1
direct
0.000 0.000 0.000
0.742 0.742 0.203
0.241 0.241 0.704
0.480 0.480 0.391
```

* spin magnetization: 0.000 μB per atom
* E: -3.008 eV per atom
* V: 83.67 Å³ per cell

***

Entry 9:
Density functional theory data (GGA-PBE) for a relaxed Li2TaHg crystal.

Structure (POSCAR):
```
Li2TaHg
1.0
2.933 -4.471 0.000
2.933 4.471 0.000
0.000 0.000 2.748
Li Ta Hg
2 1 1
direct
0.000 0.500 0.000
0.500 0.000 0.000
0.000 0.000 0.500
0.500 0.500 0.500
```

* spin magnetization: 0.001 μB per atom
* E: -3.617 eV per atom
* V: 72.08 Å³ per cell

***

Entry 10:
Density functional theory data (GGA-PBE) for a relaxed PrYTlAu crystal.

Structure (POSCAR):
```
PrYTlAu
1.0
0.000 3.785 3.785
3.785 0.000 3.785
3.785 3.785 0.000
Pr Y Tl Au
1 1 1 1
direct
0.000 0.000 0.000
0.500 0.500 0.500
0.250 0.250 0.250
0.750 0.750 0.750
```

* spin magnetization: 0.060 μB per atom
* E: -4.766 eV per atom
* distance to the lowest polymorph of the same formula: 59 meV per atom
* V: 108.46 Å³ per cell

***

Entry 11:
Density functional theory data (GGA-PBE) for a relaxed FeTc2Ni crystal.

Structure (POSCAR):
```
FeTc2Ni
1.0
0.000 2.942 2.942
2.942 0.000 2.942
2.942 2.942 0.000
Fe Tc Ni
1 2 1
direct
0.000 0.000 0.000
0.250 0.250 0.250
0.750 0.750 0.750
0.500 0.500 0.500
```

* spin magnetization: 0.000 μB per atom
* E: -8.417 eV per atom
* distance to the lowest polymorph of the same formula: 348 meV per atom
* V: 50.92 Å³ per cell

***

Entry 12:
Density functional theory data (GGA-PBE) for a relaxed AcCo4B4 crystal.

Structure (POSCAR):
```
AcCo4B4
1.0
7.240 0.000 0.000
0.000 7.240 0.000
0.000 0.000 3.804
Ac Co B
2 8 8
direct
0.250 0.250 0.250
0.750 0.750 0.750
0.108 0.636 0.145
0.136 0.892 0.645
0.364 0.608 0.645
0.392 0.864 0.145
0.608 0.136 0.855
0.636 0.392 0.355
0.864 0.108 0.355
0.892 0.364 0.855
0.047 0.911 0.147
0.089 0.547 0.647
0.411 0.953 0.647
0.453 0.589 0.147
0.547 0.411 0.853
0.589 0.047 0.353
0.911 0.453 0.353
0.953 0.089 0.853
```

* spin magnetization: 0.000 μB per atom
* E: -6.933 eV per atom
* V: 199.35 Å³ per cell

***

Entry 13:
Density functional theory data (GGA-PBE) for a relaxed MgAl2Zn4 crystal.

Structure (POSCAR):
```
MgAl2Zn4
1.0
4.185 -3.383 0.000
4.185 3.383 0.000
-3.090 0.000 4.147
Mg Al Zn
1 2 4
direct
0.000 0.000 0.000
0.495 0.495 0.245
0.505 0.505 0.755
0.000 0.391 0.693
0.000 0.609 0.307
0.391 0.000 0.693
0.609 0.000 0.307
```

* spin magnetization: 0.000 μB per atom
* E: -2.028 eV per atom
* V: 117.42 Å³ per cell

***

Entry 14:
Density functional theory data (GGA-PBE) for a relaxed ZrTlRh2 crystal.

Structure (POSCAR):
```
ZrTlRh2
1.0
-1.960 1.960 4.602
1.960 -1.960 4.602
1.960 1.960 -4.602
Zr Tl Rh
1 1 2
direct
0.000 0.000 0.000
0.750 0.250 0.500
0.250 0.750 0.500
0.500 0.500 0.000
```

* spin magnetization: 0.000 μB per atom
* E: -6.829 eV per atom
* V: 70.69 Å³ per cell

***

Entry 15:
Density functional theory data (GGA-PBE) for a relaxed BeCu2I4 crystal.

Structure (POSCAR):
```
BeCu2I4
1.0
-3.051 3.051 6.495
3.051 -3.051 6.495
3.051 3.051 -6.495
Be Cu I
1 2 4
direct
0.000 0.000 0.000
0.000 0.500 0.500
0.500 0.000 0.500
0.114 0.114 0.457
0.343 0.886 0.000
0.657 0.657 0.543
0.886 0.343 0.000
```

* spin magnetization: 0.000 μB per atom
* E: -2.877 eV per atom
* raw formation energy: -2.02 eV per formula unit
* V: 241.80 Å³ per cell

***

Entry 16:
Density functional theory data (GGA-PBE) for a relaxed YTi3Tl crystal.

Structure (POSCAR):
```
YTi3Tl
1.0
4.919 0.000 0.000
0.000 4.919 0.000
0.000 0.000 4.919
Y Ti Tl
1 3 1
direct
0.000 0.000 0.000
0.000 0.000 0.500
0.000 0.500 0.000
0.500 0.000 0.000
0.500 0.500 0.500
```

* spin magnetization: 0.373 μB per atom
* E: -5.115 eV per atom
* distance to the lowest polymorph of the same formula: 395 meV per atom
* V: 118.99 Å³ per cell

***

Entry 17:
Density functional theory data (GGA-PBE) for a relaxed Pu4MnGe3 crystal.

Structure (POSCAR):
```
Pu4MnGe3
1.0
3.938 0.000 0.000
0.000 4.171 0.000
0.000 0.000 10.905
Pu Mn Ge
4 1 3
direct
0.000 0.000 0.000
0.000 0.500 0.486
0.500 0.000 0.686
0.500 0.500 0.196
0.000 0.000 0.257
0.000 0.500 0.767
0.500 0.000 0.405
0.500 0.500 0.916
```

* spin magnetization: 0.316 μB per atom
* E: -10.312 eV per atom
* distance to the lowest polymorph of the same formula: 57 meV per atom
* V: 179.12 Å³ per cell

***

Entry 18:
Density functional theory data (GGA-PBE) for a relaxed La2AlHg crystal.

Structure (POSCAR):
```
La2AlHg
1.0
3.838 0.000 0.000
0.000 5.276 0.000
0.000 0.000 5.563
La Al Hg
2 1 1
direct
0.000 0.000 0.000
0.000 0.500 0.410
0.500 0.500 0.900
0.500 0.000 0.526
```

* spin magnetization: 0.000 μB per atom
* E: -3.886 eV per atom
* distance to the lowest polymorph of the same formula: 27 meV per atom
* V: 112.65 Å³ per cell

***

Entry 19:
Density functional theory data (GGA-PBE) for a relaxed BRhS2 crystal.

Structure (POSCAR):
```
BRhS2
1.0
-2.588 2.588 4.261
2.588 -2.588 4.261
2.588 2.588 -4.261
B Rh S
2 2 4
direct
0.000 0.000 0.000
0.750 0.250 0.500
0.250 0.750 0.500
0.500 0.500 0.000
0.066 0.625 0.941
0.375 0.316 0.441
0.684 0.125 0.059
0.875 0.934 0.559
```

* spin magnetization: 0.000 μB per atom
* E: -5.706 eV per atom
* raw formation energy: -0.54 eV per formula unit
* distance to the lowest polymorph of the same formula: 0 meV per atom
* V: 114.16 Å³ per cell

***

Entry 20:
Density functional theory data (GGA-PBE) for a relaxed U4Sb8Rh3 crystal.

Structure (POSCAR):
```
U4Sb8Rh3
1.0
4.383 0.000 0.000
0.000 4.383 0.000
0.000 0.000 18.314
U Sb Rh
4 8 3
direct
0.000 0.500 0.111
0.000 0.500 0.619
0.500 0.000 0.381
0.500 0.000 0.889
0.000 0.000 0.245
0.000 0.000 0.755
0.000 0.500 0.407
0.000 0.500 0.919
0.500 0.000 0.081
0.500 0.000 0.593
0.500 0.500 0.246
0.500 0.500 0.754
0.000 0.000 0.000
0.000 0.000 0.500
0.500 0.500 0.500
```

* spin magnetization: 0.009 μB per atom
* E: -7.087 eV per atom
* raw formation energy: -6.11 eV per formula unit
* V: 351.82 Å³ per cell

***

Entry 21:
Density functional theory data (GGA-PBE) for a relaxed Na2ZnPb crystal.

Structure (POSCAR):
```
Na2ZnPb
1.0
3.538 0.000 0.000
0.000 3.538 0.000
0.000 0.000 8.410
Na Zn Pb
2 1 1
direct
0.000 0.000 0.232
0.000 0.000 0.768
0.500 0.500 0.000
0.500 0.500 0.500
```

* spin magnetization: 0.000 μB per atom
* E: -1.899 eV per atom
* V: 105.27 Å³ per cell

***

Entry 22:
Density functional theory data (GGA-PBE) for a relaxed HgPd2W crystal.

Structure (POSCAR):
```
HgPd2W
1.0
1.451 0.838 9.273
-1.451 0.838 9.273
0.000 -1.675 9.273
Hg Pd W
1 2 1
direct
0.000 0.000 0.000
0.245 0.245 0.245
0.755 0.755 0.755
0.500 0.500 0.500
```

* spin magnetization: 0.000 μB per atom
* E: -5.837 eV per atom
* V: 67.62 Å³ per cell

***

Entry 23:
Density functional theory data (GGA-PBE) for a relaxed CsNa2Cd2 crystal.

Structure (POSCAR):
```
CsNa2Cd2
1.0
-2.660 2.660 7.023
2.660 -2.660 7.023
2.660 2.660 -7.023
Cs Na Cd
1 2 2
direct
0.000 0.000 0.000
0.250 0.750 0.500
0.750 0.250 0.500
0.393 0.393 0.000
0.607 0.607 0.000
```

* spin magnetization: 0.000 μB per atom
* E: -1.090 eV per atom
* distance to the lowest polymorph of the same formula: 12 meV per atom
* V: 198.70 Å³ per cell

***

Entry 24:
Density functional theory data (GGA-PBE) for a relaxed SnPd2Pt8 crystal.

Structure (POSCAR):
```
SnPd2Pt8
1.0
7.205 -1.999 0.000
7.205 1.999 0.000
-1.675 0.000 6.096
Sn Pd Pt
1 2 8
direct
0.000 0.000 0.000
0.275 0.275 0.366
0.725 0.725 0.634
0.091 0.091 0.449
0.183 0.183 0.911
0.364 0.364 0.820
0.453 0.453 0.277
0.547 0.547 0.723
0.636 0.636 0.180
0.817 0.817 0.089
0.909 0.909 0.551
```

* spin magnetization: 0.000 μB per atom
* E: -5.850 eV per atom
* V: 175.54 Å³ per cell

***

Entry 25:
Density functional theory data (GGA-PBE) for a relaxed Th2SnTe crystal.

Structure (POSCAR):
```
Th2SnTe
1.0
2.182 1.260 7.946
-2.182 1.260 7.946
0.000 -2.520 7.946
Th Sn Te
2 1 1
direct
0.000 0.000 0.000
0.178 0.178 0.178
0.588 0.588 0.588
0.756 0.756 0.756
```

* spin magnetization: 0.000 μB per atom
* E: -6.254 eV per atom
* raw formation energy: -3.03 eV per formula unit
* distance to the lowest polymorph of the same formula: 36 meV per atom
* V: 131.06 Å³ per cell

***

Entry 26:
Density functional theory data (GGA-PBE) for a relaxed Pr5Zn4Pt crystal.

Structure (POSCAR):
```
Pr5Zn4Pt
1.0
3.715 0.000 0.000
0.000 3.715 0.000
0.000 0.000 18.368
Pr Zn Pt
5 4 1
direct
0.000 0.000 0.000
0.000 0.000 0.202
0.000 0.000 0.406
0.000 0.000 0.594
0.000 0.000 0.798
0.500 0.500 0.101
0.500 0.500 0.300
0.500 0.500 0.700
0.500 0.500 0.899
0.500 0.500 0.500
```

* spin magnetization: 0.000 μB per atom
* E: -3.951 eV per atom
* V: 253.55 Å³ per cell